First-principles (PBE) data for crystalline NaAl3Fe at its relaxed geometry, as listed in the Alexandria database.

Lattice parameters (Å, degrees): 4.5667 4.5667 4.5667 90.00 90.00 90.00
Fractional positions:
1 Na 0.0000 0.0000 0.0000
2 Al 0.0000 0.5000 0.5000
3 Al 0.5000 0.0000 0.5000
4 Al 0.5000 0.5000 0.0000
5 Fe 0.5000 0.5000 0.5000

Computed properties:
- Symmetry: No. 221
- DOS at the Fermi energy: 0.1 states/eV/f.u.
- Total energy: -21.459 eV/f.u.
- Excess energy over the best structure of this formula in the dataset: 0.0 kJ per mole of atoms

---

First-principles (PBE) data for crystalline NaAl2Fe at its relaxed geometry, as listed in the Alexandria database.

Lattice parameters (Å, degrees): 8.7155 8.7155 8.7155 145.35 145.35 49.82
Fractional positions:
1 Na 0.3750 0.6250 0.7500
2 Na 0.6250 0.3750 0.2500
3 Al 0.0000 0.0000 0.0000
4 Al 0.0000 0.0000 0.5000
5 Al 0.0000 0.5000 0.0000
6 Al 0.5000 0.0000 0.5000
7 Fe 0.1250 0.8750 0.2500
8 Fe 0.8750 0.1250 0.7500

Computed properties:
- Symmetry: No. 141
- DOS at the Fermi energy: 4.0 states/eV/f.u.
- Total energy: -14.847 eV/f.u.
- Excess energy over the best structure of this formula in the dataset: 29.9 kJ per mole of atoms

---

Number 1: formation energy -0.090 eV per atom. Number 2: formation energy 0.605 eV per atom.